[1]
Compound: CsAgBRu2
Source: the Alexandria database
Functional: GGA-PBEsol
Structure: relaxed

- D(E_F): 0.945 states/eV per atom
- ΔH_f (0 K): 1.0134 eV/atom

a b c (Å): 4.2891 4.2891 4.5865
angles (deg): 90.00 90.00 90.00
Space group P4/mmm (No. 123)
Unique sites:
Cs (0.0000, 0.0000, 0.0000) [1 per cell]
Ag (0.5000, 0.5000, 0.0000) [1 per cell]
B (0.5000, 0.5000, 0.5000) [1 per cell]
Ru (0.0000, 0.5000, 0.5000) [2 per cell]



[2]
Compound: CuAgB2
Source: the Alexandria database
Functional: GGA-PBEsol
Structure: relaxed

- D(E_F): 0.387 states/eV per atom
- ΔH_f (0 K): 1.1288 eV/atom

a b c (Å): 5.4650 5.4650 5.4650
angles (deg): 90.00 90.00 90.00
Space group Fm-3m (No. 225)
Unique sites:
Cu (0.0000, 0.0000, 0.0000) [4 per cell]
Ag (0.0000, 0.0000, 0.5000) [4 per cell]
B (0.2500, 0.2500, 0.2500) [8 per cell]



[3]
Compound: CuAgBI2
Source: the Alexandria database
Functional: GGA-PBEsol
Structure: relaxed

- D(E_F): 0.319 states/eV per atom
- DFT total energy: -2.93 eV/atom

a b c (Å): 5.4442 5.4442 3.8381
angles (deg): 90.00 90.00 90.00
Space group P4/mmm (No. 123)
Unique sites:
Cu (0.0000, 0.0000, 0.0000) [1 per cell]
Ag (0.5000, 0.5000, 0.5000) [1 per cell]
B (0.0000, 0.0000, 0.5000) [1 per cell]
I (0.0000, 0.5000, 0.0000) [2 per cell]



[4]
Compound: AgBF4
Source: the Alexandria database
Functional: GGA-PBEsol
Structure: relaxed

- D(E_F): 0.000 states/eV per atom
- DFT total energy: -5.27 eV/atom

a b c (Å): 7.8706 5.2216 6.8670
angles (deg): 90.00 90.00 90.00
Space group Pnma (No. 62)
Unique sites:
Ag (0.1843, 0.2500, 0.1784) [4 per cell]
B (0.0625, 0.2500, 0.6836) [4 per cell]
F (0.0697, 0.0287, 0.8046) [8 per cell]
F (0.0897, 0.7500, 0.4210) [4 per cell]
F (0.2040, 0.2500, 0.5592) [4 per cell]



[5]
Compound: Ag2BF
Source: the Alexandria database
Functional: GGA-PBEsol
Structure: relaxed

- D(E_F): 0.381 states/eV per atom
- DFT total energy: -3.61 eV/atom

a b c (Å): 5.8152 5.8152 5.8152
angles (deg): 90.00 90.00 90.00
Space group Fm-3m (No. 225)
Unique sites:
Ag (0.2500, 0.2500, 0.2500) [8 per cell]
B (0.0000, 0.0000, 0.0000) [4 per cell]
F (0.0000, 0.0000, 0.5000) [4 per cell]



[6]
Compound: HfAgBF2
Source: the Alexandria database
Functional: GGA-PBEsol
Structure: relaxed

- D(E_F): 0.753 states/eV per atom
- DFT total energy: -4.86 eV/atom

a b c (Å): 4.0563 4.0563 4.4528
angles (deg): 90.00 90.00 90.00
Space group P4/mmm (No. 123)
Unique sites:
Hf (0.0000, 0.0000, 0.0000) [1 per cell]
Ag (0.5000, 0.5000, 0.5000) [1 per cell]
B (0.5000, 0.5000, 0.0000) [1 per cell]
F (0.0000, 0.5000, 0.5000) [2 per cell]



[7]
Compound: AgGeBP2
Source: the Alexandria database
Functional: GGA-PBEsol
Structure: relaxed

- D(E_F): 0.683 states/eV per atom
- ΔH_f (0 K): 1.7128 eV/atom

a b c (Å): 4.6726 4.6726 4.7696
angles (deg): 90.00 90.00 90.00
Space group P4/mmm (No. 123)
Unique sites:
Ag (0.0000, 0.0000, 0.0000) [1 per cell]
Ge (0.0000, 0.0000, 0.5000) [1 per cell]
B (0.5000, 0.5000, 0.0000) [1 per cell]
P (0.0000, 0.5000, 0.5000) [2 per cell]



[8]
Compound: ZnAgB2H
Source: the Alexandria database
Functional: GGA-PBEsol
Structure: relaxed

- D(E_F): 0.429 states/eV per atom
- DFT total energy: -3.00 eV/atom

a b c (Å): 4.2252 4.2252 3.4091
angles (deg): 90.00 90.00 90.00
Space group P4/mmm (No. 123)
Unique sites:
Zn (0.0000, 0.0000, 0.0000) [1 per cell]
Ag (0.5000, 0.5000, 0.5000) [1 per cell]
B (0.0000, 0.5000, 0.5000) [2 per cell]
H (0.5000, 0.5000, 0.0000) [1 per cell]



[9]
Compound: Ag2BI
Source: the Alexandria database
Functional: GGA-PBEsol
Structure: relaxed

- D(E_F): 0.262 states/eV per atom
- DFT total energy: -3.13 eV/atom

a b c (Å): 6.3822 6.3822 8.2567
angles (deg): 90.00 90.00 90.00
Space group I-42d (No. 122)
Unique sites:
Ag (0.1551, 0.7500, 0.1250) [8 per cell]
B (0.0000, 0.0000, 0.0000) [4 per cell]
I (0.0000, 0.0000, 0.5000) [4 per cell]



[10]
Compound: AgBTe2I
Source: the Alexandria database
Functional: GGA-PBEsol
Structure: relaxed

- D(E_F): 0.887 states/eV per atom
- DFT total energy: -2.47 eV/atom

a b c (Å): 5.3276 5.3276 5.4939
angles (deg): 90.00 90.00 90.00
Space group P4/mmm (No. 123)
Unique sites:
Ag (0.0000, 0.0000, 0.0000) [1 per cell]
B (0.5000, 0.5000, 0.5000) [1 per cell]
Te (0.0000, 0.5000, 0.0000) [2 per cell]
I (0.0000, 0.0000, 0.5000) [1 per cell]



[11]
Compound: In3AgB
Source: the Alexandria database
Functional: GGA-PBEsol
Structure: relaxed

- D(E_F): 0.560 states/eV per atom
- ΔH_f (0 K): 0.5685 eV/atom

a b c (Å): 4.7333 4.7333 4.7333
angles (deg): 90.00 90.00 90.00
Space group Pm-3m (No. 221)
Unique sites:
In (0.0000, 0.0000, 0.5000) [3 per cell]
Ag (0.5000, 0.5000, 0.5000) [1 per cell]
B (0.0000, 0.0000, 0.0000) [1 per cell]



[12]
Compound: InAg2BMo
Source: the Alexandria database
Functional: GGA-PBEsol
Structure: relaxed

- D(E_F): 1.213 states/eV per atom
- ΔH_f (0 K): 2.2649 eV/atom

a b c (Å): 4.9378 4.9378 5.2348
angles (deg): 90.00 90.00 90.00
Space group P4/mmm (No. 123)
Unique sites:
In (0.0000, 0.0000, 0.0000) [1 per cell]
Ag (0.0000, 0.5000, 0.5000) [2 per cell]
B (0.5000, 0.5000, 0.0000) [1 per cell]
Mo (0.0000, 0.0000, 0.5000) [1 per cell]



[13]
Compound: TlInAg2B
Source: the Alexandria database
Functional: GGA-PBEsol
Structure: relaxed

- D(E_F): 0.454 states/eV per atom
- ΔH_f (0 K): 1.5361 eV/atom

a b c (Å): 5.0996 5.0996 5.5497
angles (deg): 90.00 90.00 90.00
Space group P4/mmm (No. 123)
Unique sites:
Tl (0.0000, 0.0000, 0.0000) [1 per cell]
In (0.0000, 0.0000, 0.5000) [1 per cell]
Ag (0.0000, 0.5000, 0.5000) [2 per cell]
B (0.5000, 0.5000, 0.0000) [1 per cell]



[14]
Compound: AgB2IrO
Source: the Alexandria database
Functional: GGA-PBEsol
Structure: relaxed

- D(E_F): 1.268 states/eV per atom
- DFT total energy: -4.14 eV/atom

a b c (Å): 3.8323 3.8323 5.1788
angles (deg): 90.00 90.00 90.00
Space group P4/mmm (No. 123)
Unique sites:
Ag (0.0000, 0.0000, 0.0000) [1 per cell]
B (0.0000, 0.5000, 0.0000) [2 per cell]
Ir (0.0000, 0.0000, 0.5000) [1 per cell]
O (0.5000, 0.5000, 0.5000) [1 per cell]



[15]
Compound: LaAgB3
Source: the Alexandria database
Functional: GGA-PBEsol
Structure: relaxed

- D(E_F): 0.610 states/eV per atom
- ΔH_f (0 K): 2.4712 eV/atom

a b c (Å): 4.6686 4.6686 4.6686
angles (deg): 90.00 90.00 90.00
Space group Pm-3m (No. 221)
Unique sites:
La (0.0000, 0.0000, 0.0000) [1 per cell]
Ag (0.5000, 0.5000, 0.5000) [1 per cell]
B (0.0000, 0.0000, 0.5000) [3 per cell]



[16]
Compound: LaZr2AgB
Source: the Alexandria database
Functional: GGA-PBEsol
Structure: relaxed

- D(E_F): 0.912 states/eV per atom
- ΔH_f (0 K): 1.7150 eV/atom

a b c (Å): 5.1301 5.1301 4.4693
angles (deg): 90.00 90.00 90.00
Space group P4/mmm (No. 123)
Unique sites:
La (0.0000, 0.0000, 0.0000) [1 per cell]
Zr (0.0000, 0.5000, 0.0000) [2 per cell]
Ag (0.5000, 0.5000, 0.5000) [1 per cell]
B (0.0000, 0.0000, 0.5000) [1 per cell]



[17]
Compound: MgAg2B
Source: the Alexandria database
Functional: GGA-PBEsol
Structure: relaxed

- D(E_F): 0.465 states/eV per atom
- ΔH_f (0 K): 0.7365 eV/atom

a b c (Å): 4.8332 4.8332 13.5316
angles (deg): 90.00 90.00 90.00
Space group I-42d (No. 122)
Unique sites:
Mg (0.0000, 0.0000, 0.0000) [4 per cell]
Ag (0.1096, 0.2500, 0.6250) [8 per cell]
B (0.0000, 0.0000, 0.5000) [4 per cell]



[18]
Compound: MgAgBN2
Source: the Alexandria database
Functional: GGA-PBEsol
Structure: relaxed

- D(E_F): 0.546 states/eV per atom
- DFT total energy: -3.97 eV/atom

a b c (Å): 4.1410 4.1410 3.9744
angles (deg): 90.00 90.00 90.00
Space group P4/mmm (No. 123)
Unique sites:
Mg (0.0000, 0.0000, 0.0000) [1 per cell]
Ag (0.5000, 0.5000, 0.5000) [1 per cell]
B (0.5000, 0.5000, 0.0000) [1 per cell]
N (0.0000, 0.5000, 0.5000) [2 per cell]



[19]
Compound: Mn2Ag2B
Source: the Alexandria database
Functional: GGA-PBEsol
Structure: relaxed

- D(E_F): 0.943 states/eV per atom
- ΔH_f (0 K): 1.0422 eV/atom

a b c (Å): 3.0216 3.0216 14.4040
angles (deg): 90.00 90.00 90.00
Space group I4/mmm (No. 139)
Unique sites:
Mn (0.0000, 0.5000, 0.2500) [4 per cell]
Ag (0.0000, 0.0000, 0.0919) [4 per cell]
B (0.0000, 0.0000, 0.5000) [2 per cell]



[20]
Compound: MnAgB2Se
Source: the Alexandria database
Functional: GGA-PBEsol
Structure: relaxed

- D(E_F): 0.675 states/eV per atom
- DFT total energy: -5.31 eV/atom

a b c (Å): 3.8612 3.8612 4.7116
angles (deg): 90.00 90.00 90.00
Space group P4/mmm (No. 123)
Unique sites:
Mn (0.0000, 0.0000, 0.0000) [1 per cell]
Ag (0.5000, 0.5000, 0.5000) [1 per cell]
B (0.0000, 0.5000, 0.0000) [2 per cell]
Se (0.0000, 0.0000, 0.5000) [1 per cell]



[21]
Compound: Ag2B2Mo
Source: the Alexandria database
Functional: GGA-PBEsol
Structure: relaxed

- D(E_F): 0.439 states/eV per atom
- ΔH_f (0 K): 0.6020 eV/atom

a b c (Å): 3.5390 3.5390 9.6281
angles (deg): 90.00 90.00 90.00
Space group I4/mmm (No. 139)
Unique sites:
Ag (0.0000, 0.5000, 0.2500) [4 per cell]
B (0.0000, 0.0000, 0.0865) [4 per cell]
Mo (0.0000, 0.0000, 0.5000) [2 per cell]



[22]
Compound: Ag2BN
Source: the Alexandria database
Functional: GGA-PBEsol
Structure: relaxed

- D(E_F): 0.313 states/eV per atom
- DFT total energy: -4.14 eV/atom

a b c (Å): 4.1114 4.1114 12.8179
angles (deg): 90.00 90.00 90.00
Space group I-42d (No. 122)
Unique sites:
Ag (0.2440, 0.2500, 0.1250) [8 per cell]
B (0.0000, 0.0000, 0.5000) [4 per cell]
N (0.0000, 0.0000, 0.0000) [4 per cell]



[23]
Compound: AgBNO2
Source: the Alexandria database
Functional: GGA-PBEsol
Structure: relaxed

- D(E_F): 0.625 states/eV per atom
- DFT total energy: -3.88 eV/atom

a b c (Å): 4.0050 4.0050 3.9472
angles (deg): 90.00 90.00 90.00
Space group P4/mmm (No. 123)
Unique sites:
Ag (0.0000, 0.0000, 0.0000) [1 per cell]
B (0.5000, 0.5000, 0.5000) [1 per cell]
N (0.0000, 0.0000, 0.5000) [1 per cell]
O (0.0000, 0.5000, 0.0000) [2 per cell]



[24]
Compound: AgBTe2N
Source: the Alexandria database
Functional: GGA-PBEsol
Structure: relaxed

- D(E_F): 0.647 states/eV per atom
- DFT total energy: -4.96 eV/atom

a b c (Å): 6.0669 6.0669 2.7194
angles (deg): 90.00 90.00 90.00
Space group P4/mmm (No. 123)
Unique sites:
Ag (0.0000, 0.0000, 0.0000) [1 per cell]
B (0.5000, 0.5000, 0.5000) [1 per cell]
Te (0.0000, 0.5000, 0.5000) [2 per cell]
N (0.5000, 0.5000, 0.0000) [1 per cell]



[25]
Compound: NbAgB2
Source: the Alexandria database
Functional: GGA-PBEsol
Structure: relaxed

- D(E_F): 0.757 states/eV per atom
- ΔH_f (0 K): 0.6917 eV/atom

a b c (Å): 5.6877 5.6877 5.6877
angles (deg): 90.00 90.00 90.00
Space group Fm-3m (No. 225)
Unique sites:
Nb (0.0000, 0.0000, 0.0000) [4 per cell]
Ag (0.0000, 0.0000, 0.5000) [4 per cell]
B (0.2500, 0.2500, 0.2500) [8 per cell]